1.
The following is a DFT calculation (GGA-PBE) of a relaxed BeCoOs2 crystal.

Cell lengths 2.626, 2.626, 8.202 Å; angles 90.00, 90.00, 116.72 degrees
Site moments in Bohr magnetons follow the coordinates.
Element x y z (fractional)
Co: 0.500 0.500 0.750  1.70
Os: 0.000 0.000 0.014  0.26
Os: 0.000 0.000 0.486  0.26
Be: 0.500 0.500 0.250  0.00

Properties
Formation enthalpy at 0 K   28.4 kJ per mole of atoms
E_tot   -8.0282 eV per atom
Magnetic moment   2.21 μB per cell
Space-group type   Cmmm

2.
The following is a DFT calculation (GGA-PBE) of a relaxed Be2CoOs crystal.

Cell lengths 3.926, 3.926, 3.926 Å; angles 60.00, 60.00, 60.00 degrees
Site moments in Bohr magnetons follow the coordinates.
Element x y z (fractional)
Co: 0.500 0.500 0.500  1.44
Os: 0.750 0.750 0.750  0.63
Be: 0.000 0.000 0.000  0.05
Be: 0.250 0.250 0.250  -0.03

Properties
Formation enthalpy at 0 K   0.9 kJ per mole of atoms
Excess energy over the best structure of this formula in the dataset   162 meV per atom
E_tot   -6.4376 eV per atom
Magnetic moment   2.12 μB per cell
Space-group type   F-43m

3.
The following is a DFT calculation (GGA-PBE) of a relaxed Be2CoOs crystal.

Cell lengths 5.892, 5.892, 4.850 Å; angles 52.60, 52.60, 90.00 degrees
Site moments in Bohr magnetons follow the coordinates.
Element x y z (fractional)
Co: 0.500 0.500 0.000  1.02
Co: 0.250 0.750 0.500  1.03
Os: 0.000 0.000 0.000  0.48
Os: 0.750 0.250 0.500  0.48
Be: 0.606 0.125 0.250  -0.02
Be: 0.144 0.625 0.250  -0.02
Be: 0.375 0.394 0.750  -0.02
Be: 0.875 0.856 0.750  -0.02

Properties
Formation enthalpy at 0 K   29.6 kJ per mole of atoms
Excess energy over the best structure of this formula in the dataset   460 meV per atom
E_tot   -6.1397 eV per atom
Magnetic moment   2.91 μB per cell
Space-group type   I-42d

4.
The following is a DFT calculation (GGA-PBE) of a relaxed Be2CoOs crystal.

Cell lengths 3.649, 2.520, 4.615 Å; angles 83.95, 90.00, 90.00 degrees
Element x y z (fractional)
Co: 0.500 0.250 0.250
Os: 0.500 0.750 0.750
Be: 0.000 0.065 0.007
Be: 0.000 0.435 0.493

Properties
Formation enthalpy at 0 K   -3.1 kJ per mole of atoms
Excess energy over the best structure of this formula in the dataset   121 meV per atom
E_tot   -6.4790 eV per atom
Magnetic moment   0.00 μB per cell
Space-group type   P2/m

5.
The following is a DFT calculation (GGA-PBE) of a relaxed Be2CoOs crystal.

Cell lengths 2.551, 2.551, 7.173 Å; angles 90.00, 90.00, 112.24 degrees
Site moments in Bohr magnetons follow the coordinates.
Element x y z (fractional)
Co: 0.500 0.500 0.250  1.03
Os: 0.500 0.500 0.750  -0.05
Be: 0.000 0.000 0.015  -0.02
Be: 0.000 0.000 0.485  -0.02

Properties
Formation enthalpy at 0 K   4.9 kJ per mole of atoms
Excess energy over the best structure of this formula in the dataset   204 meV per atom
E_tot   -6.3960 eV per atom
Magnetic moment   0.89 μB per cell
Space-group type   Cmmm

6.
The following is a DFT calculation (GGA-PBE) of a relaxed BeCoOs crystal.

Cell lengths 6.205, 5.989, 2.564 Å; angles 82.64, 73.17, 24.19 degrees
Site moments in Bohr magnetons follow the coordinates.
Element x y z (fractional)
Co: 0.345 0.345 0.655  1.34
Os: 0.660 0.660 0.340  0.09
Be: 0.995 0.995 0.005  -0.03

Properties
Formation enthalpy at 0 K   20.8 kJ per mole of atoms
Excess energy over the best structure of this formula in the dataset   288 meV per atom
E_tot   -7.1380 eV per atom
Magnetic moment   1.36 μB per cell
Space-group type   Fmm2